VASP calculation (PBE) on an optimized crystal structure of YScSi2.

a = 5.054 Å, b = 5.054 Å, c = 5.054 Å
α = 127.84°, β = 127.68°, γ = 77.02°
Element x y z (fractional)
Sc  0.250  0.750  0.500
Si  0.000  0.000  0.000
Si  0.500  0.500  0.000
Y  0.750  0.250  0.500

As for the symmetry: Immm. For the calculated volume, the calculation gives 78.3 Å³/f.u. As for the energy above the most stable polymorph in this dataset: 335 meV per atom. The uncorrected formation energy comes out at -0.478 eV/atom. The calculation puts the electronic total energy at -25.55 eV per cell.